i:
Crystalline NiBS at its relaxed geometry, computed with PBE.

Structure (extended XYZ):
```
3
Lattice="2.874 0.000 0.000 0.000 3.067 0.000 0.000 0.000 3.812" Properties=species:S:1:pos:R:3 pbc="T T T"
S 1.437 0.000 3.498
Ni 1.437 1.534 1.466
B 0.000 0.000 2.313
```

---

ii:
Crystalline NiBS at its relaxed geometry, computed with PBE.

Structure (extended XYZ):
```
3
Lattice="2.972 -0.023 0.002 -1.474 3.084 -0.020 -0.005 -0.733 4.208" Properties=species:S:1:pos:R:3 pbc="T T T"
Ni 1.248 1.193 1.686
S 1.244 0.288 3.718
B 2.727 -0.074 2.613
```

---

Bottom line: ii, by a margin of 26 meV per atom.